[1]
The following is a PBE calculation of a relaxed structure of Li2NpSiO6, from the Alexandria database.

abc: 5.3197 5.3197 4.2563
angles: 90.00 90.00 90.00
Element x y z (fractional)
Li  0.0000  0.5000  0.0000
Li  0.5000  0.0000  0.0000
Np  0.0000  0.0000  0.6711
Si  0.5000  0.5000  0.6102
O  0.0000  0.0000  0.1816
O  0.2699  0.2699  0.7194
O  0.2699  0.7301  0.7194
O  0.5000  0.5000  0.2324
O  0.7301  0.2699  0.7194
O  0.7301  0.7301  0.7194

Properties
Calculated total energy, eV/atom: -7.5317
Space-group type: No. 99



[2]
The following is a PBE calculation of a relaxed structure of Pr3Ho8Th, from the Alexandria database.

abc: 8.7321 8.7321 8.7321
angles: 136.99 98.35 97.10
Element x y z (fractional)
Pr  0.0000  0.0000  0.0000
Pr  0.2603  0.5000  0.7603
Pr  0.7397  0.5000  0.2397
Ho  0.0797  0.8279  0.2518
Ho  0.2505  0.5019  0.2514
Ho  0.2505  0.9991  0.7486
Ho  0.4240  0.1721  0.2518
Ho  0.5760  0.8279  0.7482
Ho  0.7495  0.0009  0.2514
Ho  0.7495  0.4981  0.7486
Ho  0.9203  0.1721  0.7482
Th  0.5000  0.0000  0.5000

Properties
Calculated total energy, eV/atom: -4.5674
Space-group type: No. 71



[3]
The following is a PBE calculation of a relaxed structure of CaEuAlCu, from the Alexandria database.

abc: 5.2158 5.2158 5.2158
angles: 60.00 60.00 60.00
Element x y z (fractional)
Ca  0.0000  0.0000  0.0000
Eu  0.5000  0.5000  0.5000
Al  0.2500  0.2500  0.2500
Cu  0.7500  0.7500  0.7500

Properties
Calculated total energy, eV/atom: -5.1239
Space-group type: No. 216



[4]
The following is a PBE calculation of a relaxed structure of Sr12Sb3F5, from the Alexandria database.

abc: 15.1133 15.1133 15.1133
angles: 109.47 109.47 109.47
Element x y z (fractional)
Sr  0.0183  0.2098  0.1167
Sr  0.0183  0.3085  0.9015
Sr  0.0931  0.7098  0.6915
Sr  0.0931  0.8833  0.4015
Sr  0.0985  0.6167  0.4069
Sr  0.0985  0.9817  0.6915
Sr  0.1167  0.0183  0.2098
Sr  0.1167  0.5985  0.9069
Sr  0.1915  0.2098  0.5931
Sr  0.1915  0.4817  0.5985
Sr  0.2098  0.1167  0.0183
Sr  0.2098  0.5931  0.1915
Sr  0.2902  0.3085  0.9069
Sr  0.2902  0.4817  0.3833
Sr  0.3085  0.9015  0.0183
Sr  0.3085  0.9069  0.2902
Sr  0.3833  0.2902  0.4817
Sr  0.3833  0.5931  0.9015
Sr  0.4015  0.0931  0.8833
Sr  0.4015  0.8085  0.5183
Sr  0.4069  0.0985  0.6167
Sr  0.4069  0.8085  0.7902
Sr  0.4817  0.3833  0.2902
Sr  0.4817  0.5985  0.1915
Sr  0.5183  0.4015  0.8085
Sr  0.5183  0.6167  0.7098
Sr  0.5931  0.1915  0.2098
Sr  0.5931  0.9015  0.3833
Sr  0.5985  0.1915  0.4817
Sr  0.5985  0.9069  0.1167
Sr  0.6167  0.4069  0.0985
Sr  0.6167  0.7098  0.5183
Sr  0.6915  0.0931  0.7098
Sr  0.6915  0.0985  0.9817
Sr  0.7098  0.5183  0.6167
Sr  0.7098  0.6915  0.0931
Sr  0.7902  0.4069  0.8085
Sr  0.7902  0.8833  0.9817
Sr  0.8085  0.5183  0.4015
Sr  0.8085  0.7902  0.4069
Sr  0.8833  0.4015  0.0931
Sr  0.8833  0.9817  0.7902
Sr  0.9015  0.0183  0.3085
Sr  0.9015  0.3833  0.5931
Sr  0.9069  0.1167  0.5985
Sr  0.9069  0.2902  0.3085
Sr  0.9817  0.6915  0.0985
Sr  0.9817  0.7902  0.8833
Sb  0.1250  0.2500  0.3750
Sb  0.1250  0.3750  0.7500
Sb  0.2500  0.3750  0.1250
Sb  0.2500  0.8750  0.6250
Sb  0.3750  0.1250  0.2500
Sb  0.3750  0.7500  0.1250
Sb  0.6250  0.2500  0.8750
Sb  0.6250  0.8750  0.7500
Sb  0.7500  0.1250  0.3750
Sb  0.7500  0.6250  0.8750
Sb  0.8750  0.6250  0.2500
Sb  0.8750  0.7500  0.6250
F  0.0000  0.0000  0.0000
F  0.0000  0.0000  0.5000
F  0.0000  0.5000  0.0000
F  0.0000  0.5000  0.5000
F  0.1250  0.7500  0.8750
F  0.1250  0.8750  0.2500
F  0.2500  0.1250  0.8750
F  0.2500  0.6250  0.3750
F  0.3750  0.2500  0.6250
F  0.3750  0.6250  0.7500
F  0.5000  0.0000  0.0000
F  0.5000  0.0000  0.5000
F  0.5000  0.5000  0.0000
F  0.5000  0.5000  0.5000
F  0.6250  0.3750  0.2500
F  0.6250  0.7500  0.3750
F  0.7500  0.3750  0.6250
F  0.7500  0.8750  0.1250
F  0.8750  0.1250  0.7500
F  0.8750  0.2500  0.1250

Properties
Calculated total energy, eV/atom: -3.7711
Space-group type: No. 230